Record 1
Na2SbMoN after structural relaxation, computed with GGA-PBEsol.

Structure (POSCAR):
```
Na2SbMoN
1.0
-1.2545 3.3715 -3.7635
0.9444 -4.2292 -4.1034
-5.7145 -1.6715 0.4075
Na N Sb Mo
2 1 1 1
Direct
0.0000 0.5000 0.0000 Na
0.0000 0.0000 0.5000 Na
0.5000 0.5000 0.5000 N
0.0000 0.0000 0.0000 Sb
0.5000 0.0000 0.0000 Mo
```

Summary:
The density of states at the Fermi level comes out at 0.609 states/eV per atom. The uncorrected formation energy is 1.696 eV per atom. As for the symmetry: P4/mmm, No. 123. For the uncorrected energy, the calculation gives -3.8346 eV per atom. As for the total moment: 6.3 μB per cell.

***

Record 2
MgTlSCl2 after structural relaxation, computed with GGA-PBEsol.

Structure (POSCAR):
```
MgTlSCl2
1.0
4.5223 0.0000 0.0000
0.0000 4.5223 0.0000
0.0000 0.0000 12.2934
Cl S Mg Tl
2 1 1 1
Direct
0.5000 0.0000 0.0000 Cl
0.0000 0.5000 0.0000 Cl
0.5000 0.5000 0.5000 S
0.0000 0.0000 0.0000 Mg
0.0000 0.0000 0.5000 Tl
```

Summary:
The density of states at the Fermi level comes out at 0.738 states/eV per atom. The calculation puts the energy above the most stable polymorph in this dataset at 30.9 kJ per mole of atoms. The uncorrected formation energy is -0.608 eV per atom. As for the symmetry: P4/mmm, No. 123. For the uncorrected energy, the calculation gives -3.1572 eV per atom. As for the total moment: 0.1 μB per cell.

***

Record 3
SrNiP2 after structural relaxation, computed with GGA-PBEsol.

Structure (POSCAR):
```
SrNiP2
1.0
4.1111 0.0000 0.0000
0.0000 4.2299 0.0001
0.0000 2.1151 7.7929
Ni P Sr
2 4 2
Direct
0.7500 0.1858 0.6289 Ni
0.2500 0.8143 0.3711 Ni
0.2500 0.2503 0.4992 P
0.7500 0.0388 0.9226 P
0.2500 0.9612 0.0774 P
0.7500 0.7497 0.5008 P
0.2500 0.6049 0.7902 Sr
0.7500 0.3951 0.2098 Sr
```

Summary:
The density of states at the Fermi level comes out at 0.328 states/eV per atom. As for the symmetry: Cmcm, No. 63. For the uncorrected energy, the calculation gives -5.7321 eV per atom. As for the total moment: 0.0 μB per cell.

***

Record 4
Gd2MgAl after structural relaxation, computed with GGA-PBEsol.

Structure (POSCAR):
```
Gd2MgAl
1.0
5.1825 0.0000 0.0000
2.5912 4.4882 0.0000
2.5912 1.4961 4.2315
Gd Al Mg
2 1 1
Direct
0.7500 0.7500 0.7500 Gd
0.2500 0.2500 0.2500 Gd
0.0000 0.0000 0.0000 Al
0.5000 0.5000 0.5000 Mg
```

Summary:
The density of states at the Fermi level comes out at 0.725 states/eV per atom. As for the symmetry: Fm-3m, No. 225. For the uncorrected energy, the calculation gives -8.9461 eV per atom. As for the total moment: 14.7 μB per cell.

***

Record 5
LaPN3 after structural relaxation, computed with GGA-PBEsol.

Structure (POSCAR):
```
LaPN3
1.0
3.6841 0.0000 0.0000
0.0000 3.6841 0.0000
0.0000 0.0000 3.6841
P N La
1 3 1
Direct
0.0000 0.0000 0.0000 P
0.0000 0.5000 0.0000 N
0.5000 0.0000 0.0000 N
0.0000 0.0000 0.5000 N
0.5000 0.5000 0.5000 La
```

Summary:
The density of states at the Fermi level comes out at 0.628 states/eV per atom. The uncorrected formation energy is -0.546 eV per atom. As for the symmetry: Pm-3m, No. 221. For the uncorrected energy, the calculation gives -7.8896 eV per atom. As for the total moment: 0.0 μB per cell.

***

Record 6
FeCo3Tc after structural relaxation, computed with GGA-PBEsol.

Structure (POSCAR):
```
FeCo3Tc
1.0
4.0984 0.0000 0.0000
0.0000 4.0984 0.0000
0.0000 0.0000 4.0984
Fe Co Tc
1 3 1
Direct
0.0000 0.0000 0.0000 Fe
0.0000 0.5000 0.0000 Co
0.0000 0.0000 0.5000 Co
0.5000 0.0000 0.0000 Co
0.5000 0.5000 0.5000 Tc
```

Summary:
The density of states at the Fermi level comes out at 1.405 states/eV per atom. The calculation puts the energy above the most stable polymorph in this dataset at 0.0 kJ per mole of atoms. As for the symmetry: Pm-3m, No. 221. For the uncorrected energy, the calculation gives -7.2828 eV per atom. As for the total moment: 8.9 μB per cell.

***

Record 7
Ag2Pb after structural relaxation, computed with GGA-PBEsol.

Structure (POSCAR):
```
Ag2Pb
1.0
-2.0407 2.4081 -0.0467
-3.0787 -4.6934 -0.7903
-0.5897 -0.3595 7.2311
Ag Pb
4 2
Direct
0.3345 0.6690 0.6747 Ag
0.6032 0.2063 0.7222 Ag
0.9603 0.9206 0.9524 Ag
0.7189 0.4379 0.3957 Ag
0.2327 0.4653 0.0469 Pb
0.9838 0.9676 0.3748 Pb
```

Summary:
The density of states at the Fermi level comes out at 0.334 states/eV per atom. As for the symmetry: Cm, No. 8. For the uncorrected energy, the calculation gives -3.4360 eV per atom. As for the total moment: 0.0 μB per cell.

***

Record 8
ReSi after structural relaxation, computed with GGA-PBEsol.

Structure (POSCAR):
```
ReSi
1.0
4.7585 0.0000 0.0000
0.0000 4.7585 0.0000
0.0000 0.0000 4.7585
Si Re
4 4
Direct
0.1552 0.3448 0.6552 Si
0.8448 0.8448 0.8448 Si
0.3448 0.6552 0.1552 Si
0.6552 0.1552 0.3448 Si
0.3645 0.8645 0.6355 Re
0.8645 0.6355 0.3645 Re
0.1355 0.1355 0.1355 Re
0.6355 0.3645 0.8645 Re
```

Summary:
The density of states at the Fermi level comes out at 0.645 states/eV per atom. The uncorrected formation energy is -0.364 eV per atom. As for the symmetry: P2_13, No. 198. For the uncorrected energy, the calculation gives -9.9038 eV per atom. As for the total moment: 0.0 μB per cell.

***

Record 9
ScMo2Pt after structural relaxation, computed with GGA-PBEsol.

Structure (POSCAR):
```
ScMo2Pt
1.0
3.7375 0.0000 0.0000
0.0000 3.7375 0.0000
0.0000 0.0000 4.6196
Mo Pt Sc
2 1 1
Direct
0.0000 0.5000 0.0000 Mo
0.5000 0.0000 0.0000 Mo
0.5000 0.5000 0.5000 Pt
0.0000 0.0000 0.5000 Sc
```

Summary:
The density of states at the Fermi level comes out at 0.721 states/eV per atom. The calculation puts the energy above the most stable polymorph in this dataset at 0.0 kJ per mole of atoms. As for the symmetry: P4/mmm, No. 123. For the uncorrected energy, the calculation gives -9.5267 eV per atom. As for the total moment: 0.0 μB per cell.

***

Record 10
TeRu2Br after structural relaxation, computed with GGA-PBEsol.

Structure (POSCAR):
```
TeRu2Br
1.0
-1.9582 0.8374 1.9318
-0.8240 -3.4410 0.6563
5.5100 -0.2283 5.7214
Ru Te Br
2 1 1
Direct
0.6247 0.5000 0.1953 Ru
0.1258 0.0000 0.0482 Ru
0.6213 0.0000 0.4323 Te
0.1282 0.5000 0.8242 Br
```

Summary:
The density of states at the Fermi level comes out at 0.727 states/eV per atom. The calculation puts the energy above the most stable polymorph in this dataset at 0.0 kJ per mole of atoms. The uncorrected formation energy is 0.280 eV per atom. As for the symmetry: Pm, No. 6. For the uncorrected energy, the calculation gives -6.1553 eV per atom. As for the total moment: 0.0 μB per cell.

***

Record 11
Re2Hg3 after structural relaxation, computed with GGA-PBEsol.

Structure (POSCAR):
```
Re2Hg3
1.0
4.5815 0.0000 0.0000
-2.2908 3.9677 0.0000
0.0000 0.0000 5.5607
Hg Re
3 2
Direct
0.3333 0.6667 0.4164 Hg
0.0000 0.0000 0.0000 Hg
0.6667 0.3333 0.5836 Hg
0.6667 0.3333 0.0713 Re
0.3333 0.6667 0.9287 Re
```

Summary:
The density of states at the Fermi level comes out at 0.358 states/eV per atom. As for the symmetry: P-3m1, No. 164. For the uncorrected energy, the calculation gives -4.9490 eV per atom. As for the total moment: 0.0 μB per cell.